w) VASP calculation (GGA-PBE) on a geometry-optimized Rb2SrSnBr6 structure.

Values from the calculation:
M_tot: 0.00 μB per formula unit
SG: Fm-3m (225)
Theoretical density: 3.37 g/cm³

a b c (Å): 8.4191 8.4191 8.4191
angles (deg): 60.00 60.00 60.00
Positions (direct):
Rb (0.2500, 0.2500, 0.2500)
Rb (0.7500, 0.7500, 0.7500)
Sr (0.0000, 0.0000, 0.0000)
Sn (0.5000, 0.5000, 0.5000)
Br (0.2520, 0.2520, 0.7480)
Br (0.2520, 0.7480, 0.2520)
Br (0.2520, 0.7480, 0.7480)
Br (0.7480, 0.2520, 0.2520)
Br (0.7480, 0.2520, 0.7480)
Br (0.7480, 0.7480, 0.2520)

---

x) VASP calculation (GGA-PBE) on a geometry-optimized Rb2SrSnBr6 structure.

Values from the calculation:
M_tot: 0.00 μB per formula unit
SG: P2_1/c (14)
Theoretical density: 3.62 g/cm³

a b c (Å): 8.0349 8.4438 14.0458
angles (deg): 90.00 124.47 90.00
Positions (direct):
Rb (0.2236, 0.0729, 0.2489)
Rb (0.2236, 0.4271, 0.7489)
Rb (0.7764, 0.5729, 0.2511)
Rb (0.7764, 0.9271, 0.7511)
Sr (0.5000, 0.0000, 0.0000)
Sr (0.5000, 0.5000, 0.5000)
Sn (0.0000, 0.0000, 0.5000)
Sn (0.0000, 0.5000, 0.0000)
Br (0.1393, 0.2026, 0.9458)
Br (0.1393, 0.2974, 0.4458)
Br (0.2474, 0.6985, 0.9460)
Br (0.2474, 0.8015, 0.4460)
Br (0.3529, 0.0311, 0.7470)
Br (0.3529, 0.4689, 0.2470)
Br (0.6471, 0.5311, 0.7530)
Br (0.6471, 0.9689, 0.2530)
Br (0.7526, 0.1985, 0.5540)
Br (0.7526, 0.3015, 0.0540)
Br (0.8607, 0.7026, 0.5542)
Br (0.8607, 0.7974, 0.0542)

---

Most stable one: x), least stable one: w).

---

w) VASP calculation (GGA-PBE) on a geometry-optimized Rb2VSnBr6 structure.

Values from the calculation:
M_tot: 3.00 μB per formula unit
SG: P2_1/c (14)
Theoretical density: 4.02 g/cm³

a b c (Å): 7.7294 7.9015 13.4945
angles (deg): 90.00 124.77 90.00
Positions (direct):
Rb (0.2320, 0.0582, 0.2483)
Rb (0.2320, 0.4418, 0.7483)
Rb (0.7680, 0.5582, 0.2517)
Rb (0.7680, 0.9418, 0.7517)
V (0.0000, 0.0000, 0.5000)
V (0.0000, 0.5000, 0.0000)
Sn (0.5000, 0.0000, 0.0000)
Sn (0.5000, 0.5000, 0.5000)
Br (0.1542, 0.2209, 0.9652)
Br (0.1542, 0.2791, 0.4652)
Br (0.2448, 0.6912, 0.9646)
Br (0.2448, 0.8088, 0.4646)
Br (0.3049, 0.0056, 0.7352)
Br (0.3049, 0.4944, 0.2352)
Br (0.6951, 0.5056, 0.7648)
Br (0.6951, 0.9944, 0.2648)
Br (0.7552, 0.1912, 0.5354)
Br (0.7552, 0.3088, 0.0354)
Br (0.8458, 0.7209, 0.5348)
Br (0.8458, 0.7791, 0.0348)

---

x) VASP calculation (GGA-PBE) on a geometry-optimized Rb2VSnBr6 structure.

Values from the calculation:
M_tot: 3.00 μB per formula unit
SG: Fm-3m (225)
Theoretical density: 3.92 g/cm³

a b c (Å): 7.8918 7.8918 7.8918
angles (deg): 60.00 60.00 60.00
Positions (direct):
Rb (0.2500, 0.2500, 0.2500)
Rb (0.7500, 0.7500, 0.7500)
V (0.0000, 0.0000, 0.0000)
Sn (0.5000, 0.5000, 0.5000)
Br (0.2370, 0.2370, 0.7630)
Br (0.2370, 0.7630, 0.2370)
Br (0.2370, 0.7630, 0.7630)
Br (0.7630, 0.2370, 0.2370)
Br (0.7630, 0.2370, 0.7630)
Br (0.7630, 0.7630, 0.2370)

---

Most stable one: w), least stable one: x).

---

w) VASP calculation (GGA-PBE) on a geometry-optimized Rb2ZnSnBr6 structure.

Values from the calculation:
M_tot: 0.00 μB per formula unit
SG: Fm-3m (225)
Theoretical density: 3.99 g/cm³

a b c (Å): 7.8911 7.8911 7.8911
angles (deg): 60.00 60.00 60.00
Positions (direct):
Rb (0.2500, 0.2500, 0.2500)
Rb (0.7500, 0.7500, 0.7500)
Zn (0.0000, 0.0000, 0.0000)
Sn (0.5000, 0.5000, 0.5000)
Br (0.2374, 0.2374, 0.7626)
Br (0.2374, 0.7626, 0.2374)
Br (0.2374, 0.7626, 0.7626)
Br (0.7626, 0.2374, 0.2374)
Br (0.7626, 0.2374, 0.7626)
Br (0.7626, 0.7626, 0.2374)

---

x) VASP calculation (GGA-PBE) on a geometry-optimized Rb2ZnSnBr6 structure.

Values from the calculation:
M_tot: 0.00 μB per formula unit
SG: R3 (146)
Theoretical density: 3.14 g/cm³

a b c (Å): 9.2111 9.2111 9.2111
angles (deg): 51.45 51.45 51.45
Positions (direct):
Rb (0.0000, 0.0000, 0.0000)
Rb (0.4905, 0.4905, 0.4905)
Zn (0.2605, 0.2605, 0.2605)
Sn (0.7077, 0.7077, 0.7077)
Br (0.0250, 0.8249, 0.4484)
Br (0.3174, 0.5285, 0.9479)
Br (0.4484, 0.0250, 0.8249)
Br (0.5285, 0.9479, 0.3174)
Br (0.8249, 0.4484, 0.0250)
Br (0.9479, 0.3174, 0.5285)

---

Most stable one: x), least stable one: w).

---

w) VASP calculation (GGA-PBE) on a geometry-optimized RbSr2Br5 structure.

Values from the calculation:
M_tot: 0.03 μB per formula unit
SG: Immm (71)
Theoretical density: 3.71 g/cm³

a b c (Å): 9.2965 9.2965 9.2965
angles (deg): 150.69 130.76 58.34
Positions (direct):
Rb (0.0000, 0.0000, 0.0000)
Sr (0.3147, 0.8147, 0.5000)
Sr (0.6853, 0.1853, 0.5000)
Br (0.0821, 0.3447, 0.7373)
Br (0.3926, 0.6553, 0.7373)
Br (0.5000, 0.0000, 0.5000)
Br (0.6074, 0.3447, 0.2627)
Br (0.9179, 0.6553, 0.2627)

---

x) VASP calculation (GGA-PBE) on a geometry-optimized RbSr2Br5 structure.

Values from the calculation:
M_tot: 0.00 μB per formula unit
SG: P2_1/c (14)
Theoretical density: 3.98 g/cm³

a b c (Å): 9.5653 8.4781 13.5817
angles (deg): 90.00 90.18 90.00
Positions (direct):
Rb (0.0101, 0.0518, 0.3323)
Rb (0.0101, 0.4482, 0.8323)
Rb (0.9899, 0.5518, 0.1677)
Rb (0.9899, 0.9482, 0.6677)
Sr (0.2527, 0.5660, 0.4943)
Sr (0.2527, 0.9340, 0.9943)
Sr (0.4978, 0.5226, 0.1785)
Sr (0.4978, 0.9774, 0.6785)
Sr (0.5022, 0.0226, 0.3215)
Sr (0.5022, 0.4774, 0.8215)
Sr (0.7473, 0.0660, 0.0057)
Sr (0.7473, 0.4340, 0.5057)
Br (0.0338, 0.1724, 0.0818)
Br (0.0338, 0.3276, 0.5818)
Br (0.2745, 0.6899, 0.7146)
Br (0.2745, 0.8101, 0.2146)
Br (0.2867, 0.1664, 0.8167)
Br (0.2867, 0.3336, 0.3167)
Br (0.2894, 0.5483, 0.9974)
Br (0.2894, 0.9517, 0.4974)
Br (0.4622, 0.1597, 0.1009)
Br (0.4622, 0.3403, 0.6009)
Br (0.5378, 0.6597, 0.3991)
Br (0.5378, 0.8403, 0.8991)
Br (0.7106, 0.0483, 0.5026)
Br (0.7106, 0.4517, 0.0026)
Br (0.7133, 0.6664, 0.6833)
Br (0.7133, 0.8336, 0.1833)
Br (0.7255, 0.1899, 0.7854)
Br (0.7255, 0.3101, 0.2854)
Br (0.9662, 0.6724, 0.4182)
Br (0.9662, 0.8276, 0.9182)

---

Most stable one: x), least stable one: w).

---

w) VASP calculation (GGA-PBE) on a geometry-optimized Rb2Sr2Br structure.

Values from the calculation:
M_tot: 0.00 μB per formula unit
SG: P4/mbm (127)
Theoretical density: 2.20 g/cm³

a b c (Å): 8.8166 8.8166 8.2855
angles (deg): 90.00 90.00 90.00
Positions (direct):
Rb (0.1689, 0.3311, 0.0000)
Rb (0.3311, 0.8311, 0.0000)
Rb (0.6689, 0.1689, 0.0000)
Rb (0.8311, 0.6689, 0.0000)
Sr (0.1716, 0.6716, 0.5000)
Sr (0.3284, 0.1716, 0.5000)
Sr (0.6716, 0.8284, 0.5000)
Sr (0.8284, 0.3284, 0.5000)
Br (0.0000, 0.0000, 0.0000)
Br (0.5000, 0.5000, 0.0000)

---

x) VASP calculation (GGA-PBE) on a geometry-optimized Rb2Sr2Br structure.

Values from the calculation:
M_tot: 0.00 μB per formula unit
SG: P4/mbm (127)
Theoretical density: 2.32 g/cm³

a b c (Å): 8.6780 8.6780 8.1113
angles (deg): 90.00 90.00 90.00
Positions (direct):
Rb (0.1694, 0.3306, 0.0000)
Rb (0.3306, 0.8306, 0.0000)
Rb (0.6694, 0.1694, 0.0000)
Rb (0.8306, 0.6694, 0.0000)
Sr (0.1700, 0.6700, 0.5000)
Sr (0.3300, 0.1700, 0.5000)
Sr (0.6700, 0.8300, 0.5000)
Sr (0.8300, 0.3300, 0.5000)
Br (0.0000, 0.0000, 0.5000)
Br (0.5000, 0.5000, 0.5000)

---

Most stable one: x), least stable one: w).

---

w) VASP calculation (GGA-PBE) on a geometry-optimized Rb3SrBr6 structure.

Values from the calculation:
M_tot: 1.00 μB per formula unit
SG: Fm-3m (225)
Theoretical density: 2.81 g/cm³

a b c (Å): 8.8315 8.8315 8.8315
angles (deg): 60.00 60.00 60.00
Positions (direct):
Rb (0.0000, 0.0000, 0.0000)
Rb (0.2500, 0.2500, 0.2500)
Rb (0.7500, 0.7500, 0.7500)
Sr (0.5000, 0.5000, 0.5000)
Br (0.2606, 0.2606, 0.7394)
Br (0.2606, 0.7394, 0.2606)
Br (0.2606, 0.7394, 0.7394)
Br (0.7394, 0.2606, 0.2606)
Br (0.7394, 0.2606, 0.7394)
Br (0.7394, 0.7394, 0.2606)

---

x) VASP calculation (GGA-PBE) on a geometry-optimized Rb3SrBr6 structure.

Values from the calculation:
M_tot: 1.05 μB per formula unit
SG: Cmc2_1 (36)
Theoretical density: 2.94 g/cm³

a b c (Å): 10.4138 10.4138 8.6300
angles (deg): 90.00 90.00 96.97
Positions (direct):
Rb (0.0909, 0.9091, 0.5000)
Rb (0.2301, 0.4285, 0.4834)
Rb (0.4285, 0.2301, 0.9834)
Rb (0.5715, 0.7699, 0.4834)
Rb (0.7699, 0.5715, 0.9834)
Rb (0.9091, 0.0909, 0.0000)
Sr (0.2846, 0.7154, 0.9394)
Sr (0.7154, 0.2846, 0.4394)
Br (0.0533, 0.6218, 0.7530)
Br (0.1613, 0.1758, 0.7425)
Br (0.1758, 0.1613, 0.2425)
Br (0.2764, 0.7236, 0.2789)
Br (0.3782, 0.9467, 0.7530)
Br (0.4546, 0.5454, 0.7936)
Br (0.5454, 0.4546, 0.2936)
Br (0.6218, 0.0533, 0.2530)
Br (0.7236, 0.2764, 0.7789)
Br (0.8242, 0.8387, 0.7425)
Br (0.8387, 0.8242, 0.2425)
Br (0.9467, 0.3782, 0.2530)

---

Most stable one: x), least stable one: w).